# 1
Compound: PuNi
Source: OQMD
Functional: PBE-GGA
Structure: optimized geometry

Lattice parameters (Å, degrees): 5.821 5.821 5.821 90.00 90.00 90.00
Space group F-43m (No. 216)
Unique sites:
Pu 0.000 0.000 0.000 x4
Ni 0.250 0.250 0.250 x4

Summary:
- size of the total moment (μB per formula unit) = 5.7
- calculated density (g cm⁻³) = 10.19
- formation energy from the elements (meV per atom) = 724

---

# 2
Compound: LiZrNb
Source: OQMD
Functional: PBE-GGA
Structure: optimized geometry

Lattice parameters (Å, degrees): 6.465 6.465 6.465 90.00 90.00 90.00
Space group F-43m (No. 216)
Unique sites:
Li 0.000 0.000 0.000 x4
Zr 0.000 0.000 0.500 x4
Nb 0.250 0.250 0.250 x4

Summary:
- size of the total moment (μB per formula unit) = 2.3
- calculated density (g cm⁻³) = 4.70
- energy above the most stable polymorph in this dataset (meV per atom) = 0

---

# 3
Compound: Ho3Er2Lu3
Source: OQMD
Functional: PBE-GGA
Structure: optimized geometry

Lattice parameters (Å, degrees): 7.1028 7.1028 5.5176 90.00 90.00 120.00
Space group P-6m2 (No. 187)
Unique sites:
Ho 0.9999 0.5000 0.0000 x3
Er 0.0000 0.0000 0.0000 x1
Er 0.3333 0.6667 0.5000 x1
Lu 0.3340 0.1670 0.5000 x3

Summary:
- size of the total moment (μB per formula unit) = 0.1
- calculated density (g cm⁻³) = 9.33
- formation energy from the elements (meV per atom) = 2

---

# 4
Compound: YTmPb4
Source: OQMD
Functional: PBE-GGA
Structure: optimized geometry

Lattice parameters (Å, degrees): 3.313 6.295 19.228 90.00 90.00 90.00
Space group Amm2 (No. 38)
Unique sites:
Y 0.000 0.000 0.000 x2
Tm 0.000 0.000 0.181 x2
Pb 0.000 0.000 0.344 x2
Pb 0.000 0.000 0.506 x2
Pb 0.000 0.000 0.672 x2
Pb 0.000 0.000 0.834 x2

Summary:
- size of the total moment (μB per formula unit) = 0.0
- calculated density (g cm⁻³) = 9.00
- total energy (eV/atom) = -4.07

---

# 5
Compound: KNaZrS3
Source: OQMD
Functional: PBE-GGA
Structure: optimized geometry

Lattice parameters (Å, degrees): 14.538 3.900 10.981 90.00 90.00 90.00
Space group Pnma (No. 62)
Unique sites:
K 0.241 0.250 0.002 x4
Na 0.031 0.750 0.914 x4
Zr 0.009 0.250 0.658 x4
S 0.085 0.750 0.151 x4
S 0.090 0.250 0.438 x4
S 0.122 0.750 0.714 x4

Summary:
- size of the total moment (μB per formula unit) = 0.0
- calculated density (g cm⁻³) = 2.66
- energy above the most stable polymorph in this dataset (meV per atom) = 103

---

# 6
Compound: DyTm4Hg5
Source: OQMD
Functional: PBE-GGA
Structure: optimized geometry

Lattice parameters (Å, degrees): 3.668 3.668 18.401 90.00 90.00 90.00
Space group P4/mmm (No. 123)
Unique sites:
Dy 0.000 0.000 0.000 x1
Tm 0.000 0.000 0.202 x2
Tm 0.000 0.000 0.401 x2
Hg 0.500 0.500 0.103 x2
Hg 0.500 0.500 0.301 x2
Hg 0.500 0.500 0.500 x1

Summary:
- size of the total moment (μB per formula unit) = 0.1
- calculated density (g cm⁻³) = 12.35
- formation energy from the elements (meV per atom) = -480

---

# 7
Compound: SmAsN2O
Source: OQMD
Functional: PBE-GGA
Structure: optimized geometry

Lattice parameters (Å, degrees): 5.472 5.501 9.389 104.47 91.99 119.50
Space group P1 (No. 1)
Unique sites:
Sm 0.000 0.000 0.000 x1
Sm 0.170 0.402 0.720 x1
Sm 0.483 0.917 0.440 x1
Sm 0.746 0.456 0.214 x1
As 0.111 0.168 0.358 x1
As 0.389 0.734 0.084 x1
As 0.518 0.092 0.802 x1
As 0.795 0.672 0.602 x1
N 0.121 0.880 0.756 x1
N 0.176 0.892 0.209 x1
N 0.489 0.053 0.993 x1
N 0.523 0.381 0.428 x1
N 0.588 0.813 0.700 x1
N 0.653 0.318 0.676 x1
N 0.756 0.028 0.230 x1
N 0.969 0.972 0.498 x1
O 0.040 0.451 0.958 x1
O 0.078 0.485 0.461 x1
O 0.310 0.474 0.196 x1
O 0.558 0.568 0.962 x1

Summary:
- size of the total moment (μB per formula unit) = 0.0
- calculated density (g cm⁻³) = 7.64
- total energy (eV/atom) = -7.00

---

# 8
Compound: Zr4SiN3
Source: OQMD
Functional: PBE-GGA
Structure: optimized geometry

Lattice parameters (Å, degrees): 3.2577 3.2577 24.0974 90.00 90.00 120.00
Space group P6_3/mmc (No. 194)
Unique sites:
Zr 0.0000 0.0000 0.1637 x4
Zr 0.3333 0.6667 0.0562 x4
Si 0.3333 0.6667 0.2500 x2
N 0.0000 0.0000 0.0000 x2
N 0.3333 0.6667 0.6102 x4

Summary:
- size of the total moment (μB per formula unit) = 0.0
- calculated density (g cm⁻³) = 6.52
- total energy (eV/atom) = -9.48

---

# 9
Compound: Ta4ZnCdN2
Source: OQMD
Functional: PBE-GGA
Structure: optimized geometry

Lattice parameters (Å, degrees): 3.1085 3.1085 14.0765 90.00 90.00 120.00
Space group P-6m2 (No. 187)
Unique sites:
Ta 0.0000 0.0000 0.1551 x2
Ta 0.6667 0.3333 0.3257 x2
Zn 0.6667 0.3333 0.0000 x1
Cd 0.0000 0.0000 0.5000 x1
N 0.3333 0.6667 0.2410 x2

Summary:
- size of the total moment (μB per formula unit) = 0.0
- calculated density (g cm⁻³) = 13.10
- total energy (eV/atom) = -8.73

---

# 10
Compound: DyTm2Sn3Pt3
Source: OQMD
Functional: PBE-GGA
Structure: optimized geometry

Lattice parameters (Å, degrees): 3.998 12.975 7.467 90.00 90.00 90.00
Space group Amm2 (No. 38)
Unique sites:
Dy 0.000 0.000 0.000 x2
Tm 0.000 0.203 0.392 x4
Sn 0.500 0.000 0.334 x2
Sn 0.500 0.130 0.724 x4
Pt 0.000 0.000 0.592 x2
Pt 0.500 0.168 0.095 x4

Summary:
- size of the total moment (μB per formula unit) = 0.0
- calculated density (g cm⁻³) = 12.36
- total energy (eV/atom) = -5.95

---

# 11
Compound: ZrOs2Pt
Source: OQMD
Functional: PBE-GGA
Structure: optimized geometry

Lattice parameters (Å, degrees): 6.410 6.410 6.410 90.00 90.00 90.00
Space group F-43m (No. 216)
Unique sites:
Zr 0.000 0.000 0.000 x4
Os 0.000 0.000 0.500 x4
Os 0.250 0.250 0.250 x4
Pt 0.250 0.250 0.750 x4

Summary:
- size of the total moment (μB per formula unit) = 0.5
- calculated density (g cm⁻³) = 16.82
- formation energy from the elements (meV per atom) = 104